DFT (PBE) results for a geometry-optimized MgFe2Pt2 structure.

```
data_MgFe2Pt2
_symmetry_space_group_name_H-M 'P 1'
_symmetry_Int_Tables_number 1
_symmetry_space_group_name_Hall 'P 1'
_cell_length_a 7.273
_cell_length_b 7.273
_cell_length_c 2.713
_cell_angle_alpha 90.00
_cell_angle_beta 90.00
_cell_angle_gamma 90.00
loop_
_atom_site_label
_atom_site_type_symbol
_atom_site_fract_x
_atom_site_fract_y
_atom_site_fract_z
Mg1 Mg 0.000 0.000 0.000
Mg2 Mg 0.500 0.500 0.000
Fe1 Fe 0.391 0.891 0.000
Fe2 Fe 0.891 0.609 0.000
Fe3 Fe 0.609 0.109 0.000
Fe4 Fe 0.109 0.391 0.000
Pt1 Pt 0.187 0.687 0.500
Pt2 Pt 0.687 0.813 0.500
Pt3 Pt 0.813 0.313 0.500
Pt4 Pt 0.313 0.187 0.500
```

Output
Fermi-level density of states: 14.944 states/eV per cell
E_tot: -6.141 eV per atom
energy of formation: -0.106 eV/f.u.